Record 1
A plane-wave DFT calculation with GGA-PBE was carried out for a relaxed RbBe2Cr crystal.

Summary:
Calculated formation energy, eV per atom: 1.124
DOS at the Fermi energy, states/eV per cell: 14.0
Energy relative to the lowest polymorph listed for this composition, kcal/mol of atoms: 0.000

Unit cell a=4.7178 b=4.7178 c=17.2961 alpha=90.00 beta=90.00 gamma=90.00
Space group I4_1/amd (No. 141, origin choice 2)
Symmetry-distinct sites (fractional):
Rb 0.0000 0.2500 0.3750 (multiplicity 4)
Be 0.0000 0.0000 0.0000 (multiplicity 8)
Cr 0.0000 0.2500 0.8750 (multiplicity 4)

Record 2
A plane-wave DFT calculation with GGA-PBE was carried out for a relaxed Zr2BiRh2 crystal.

Summary:
Calculated formation energy, eV per atom: -0.431
DOS at the Fermi energy, states/eV per cell: 11.2
Energy relative to the lowest polymorph listed for this composition, kcal/mol of atoms: 4.559

Unit cell a=8.0195 b=8.0195 c=3.1829 alpha=90.00 beta=90.00 gamma=90.00
Space group P4/mbm (No. 127)
Symmetry-distinct sites (fractional):
Zr 0.1523 0.3477 0.0000 (multiplicity 4)
Bi 0.0000 0.0000 0.0000 (multiplicity 2)
Rh 0.1332 0.6332 0.5000 (multiplicity 4)